This record from Alexandria via LeMat-Bulk describes a relaxed La2Tb2Y5 crystal. The functional is GGA-PBE.

Total DFT energy (no corrections), eV/atom: -5.500
Energy above the lowest structure with this stoichiometry, meV per atom: 0.0
ΔH_f (0 K), eV/atom: 0.215

abc: 11.9742 6.8052 10.1971
angles: 109.49 125.95 90.00
With the nearest neighbours (Å) after each atom.
Atoms (fractional coordinates):
La: 0.0000 0.0074 0.0000  4 Y 3.28-3.60, 2 Tb 3.60
La: 0.5000 0.5074 0.0000  4 Y 3.28-3.60, 2 Tb 3.60
La: 0.2576 0.3538 0.5000  4 Y 3.44-3.64, 2 Tb 3.61, 2 La 3.82
La: 0.7424 0.8538 0.5000  4 Y 3.44-3.64, 2 Tb 3.61, 2 La 3.82
Tb: 0.1227 0.6852 0.2534  4 Y 3.39-3.69, 2 La 3.60-3.61, 1 Tb 3.71
Tb: 0.8773 0.4318 0.7466  4 Y 3.39-3.69, 2 La 3.60-3.61, 1 Tb 3.71
Tb: 0.6308 0.1852 0.2534  4 Y 3.39-3.69, 2 La 3.60-3.61, 1 Tb 3.71
Tb: 0.3692 0.9318 0.7466  4 Y 3.39-3.69, 2 La 3.60-3.61, 1 Tb 3.71
Y: 0.2057 0.6503 0.8931  6 Y 3.24-3.61, 1 La 3.28, 1 Tb 3.39
Y: 0.7943 0.7573 0.1069  6 Y 3.24-3.61, 1 La 3.28, 1 Tb 3.39
Y: 0.1874 0.1503 0.8931  6 Y 3.24-3.61, 1 La 3.28, 1 Tb 3.39
Y: 0.8126 0.2573 0.1069  6 Y 3.24-3.61, 1 La 3.28, 1 Tb 3.39
Y: 0.3764 0.0413 0.2839  5 Y 3.24-3.60, 1 Tb 3.41, 2 La 3.46-3.60
Y: 0.6236 0.7574 0.7161  5 Y 3.24-3.60, 1 Tb 3.41, 2 La 3.46-3.60
Y: 0.4075 0.5413 0.2839  5 Y 3.24-3.60, 1 Tb 3.41, 2 La 3.46-3.60
Y: 0.5925 0.2574 0.7161  5 Y 3.24-3.60, 1 Tb 3.41, 2 La 3.46-3.60
Y: 0.0054 0.6515 0.5000  6 Y 3.25-3.61, 2 La 3.44-3.64, 2 Tb 3.59
Y: 0.9946 0.1515 0.5000  6 Y 3.25-3.61, 2 La 3.44-3.64, 2 Tb 3.59